5
Lattice="5.4481 0.0000 0.0000 0.0000 5.4481 0.0000 0.0000 0.0000 5.4481" Properties=species:S:1:pos:R:3 comment="LaHg3Cl, relaxed, DFT PBE" raw_formation_energy_mev_per_atom=163 relative_energy_mev_per_atom=69 pbc="T T T"
La 0.0000 0.0000 0.0000
Hg 0.0000 2.7240 2.7240
Hg 2.7240 0.0000 2.7240
Hg 2.7240 2.7240 0.0000
Cl 2.7240 2.7240 2.7240